Model w:
This record from the Alexandria database describes Ti2O after structural relaxation. The functional is PBE.

## Properties
As for the space-group type: Pnma. The total magnetization is 0.00 μB per atom.

Cell lengths 2.867, 5.482, 9.534 Å; angles 90.00, 90.00, 90.00 degrees
Fractional positions:
Ti1 0.750 0.626 0.379
Ti2 0.250 0.126 0.121
Ti3 0.750 0.874 0.879
Ti4 0.250 0.624 0.106
Ti5 0.750 0.124 0.394
Ti6 0.250 0.374 0.621
Ti7 0.250 0.876 0.606
Ti8 0.750 0.376 0.894
O1 0.750 0.875 0.212
O2 0.250 0.125 0.788
O3 0.750 0.625 0.712
O4 0.250 0.375 0.288

=====

Model x:
This record from the Alexandria database describes Ti2O after structural relaxation. The functional is PBE.

## Properties
As for the space-group type: P2/m. The total magnetization is 0.00 μB per atom.

Cell lengths 2.946, 4.765, 8.163 Å; angles 87.80, 90.00, 90.00 degrees
Fractional positions:
Ti1 0.500 0.263 0.085
Ti2 0.500 0.748 0.571
Ti3 0.500 0.737 0.915
Ti4 0.500 0.252 0.429
Ti5 0.000 0.737 0.243
Ti6 0.000 0.263 0.757
O1 0.000 0.695 0.742
O2 0.000 0.000 0.000
O3 0.000 0.305 0.258

=====

Model y:
This record from the Alexandria database describes Ti2O after structural relaxation. The functional is PBE.

## Properties
As for the space-group type: P-3m1. The total magnetization is 0.00 μB per atom.

Cell lengths 2.980, 2.980, 4.809 Å; angles 90.00, 90.00, 120.00 degrees
Fractional positions:
Ti1 0.333 0.667 0.733
Ti2 0.667 0.333 0.267
O1 0.000 0.000 0.000

=====

Structures ranked by computed energy, the most stable listed first: model y, model x, model w.

=====

Model w:
This record from the Alexandria database describes Ti9O10 after structural relaxation. The functional is PBE.

## Properties
As for the space-group type: P-1. The total magnetization is 0.01 μB per atom.

Cell lengths 4.516, 5.525, 8.938 Å; angles 99.65, 90.36, 111.40 degrees
Each line ends with the local moment (μB).
Fractional positions:
O1 0.776 0.268 0.289  0.00
O2 0.255 0.275 0.441  0.00
O3 0.745 0.725 0.559  0.00
O4 0.112 0.297 0.046  0.00
O5 0.224 0.732 0.711  0.00
O6 0.602 0.678 0.206  0.00
O7 0.801 0.195 0.610  0.00
O8 0.888 0.703 0.954  0.00
O9 0.199 0.805 0.390  0.00
O10 0.398 0.322 0.794  0.00
Ti1 0.629 0.707 0.771  0.00
Ti2 0.804 0.966 0.396  0.00
Ti3 0.196 0.034 0.604  0.00
Ti4 0.371 0.293 0.229  0.00
Ti5 0.919 0.333 0.843  0.00
Ti6 0.000 0.500 0.500  0.15
Ti7 0.731 0.985 0.089  0.00
Ti8 0.269 0.015 0.911  0.00
Ti9 0.081 0.667 0.157  0.00

=====

Model x:
This record from the Alexandria database describes Ti9O10 after structural relaxation. The functional is PBE.

## Properties
As for the space-group type: C2/m. The total magnetization is 0.00 μB per atom.

Cell lengths 5.144, 5.144, 9.882 Å; angles 84.45, 84.45, 121.58 degrees
Fractional positions:
O1 0.711 0.059 0.880
O2 0.799 0.463 0.623
O3 0.941 0.289 0.120
O4 0.201 0.537 0.377
O5 0.390 0.390 0.862
O6 0.537 0.201 0.377
O7 0.463 0.799 0.623
O8 0.289 0.941 0.120
O9 0.059 0.711 0.880
O10 0.610 0.610 0.138
Ti1 0.834 0.166 0.500
Ti2 0.896 0.562 0.259
Ti3 0.438 0.104 0.741
Ti4 0.166 0.834 0.500
Ti5 0.647 0.353 0.000
Ti6 0.000 0.000 0.000
Ti7 0.353 0.647 0.000
Ti8 0.562 0.896 0.259
Ti9 0.104 0.438 0.741

=====

Structures ranked by computed energy, the most stable listed first: model w, model x.